The following is a DFT calculation (PBE) of a geometry-optimized Hf4B3S structure.

Density ... 10.781 g cm⁻³
Energy ... -8.84 eV/atom

Unit cell a=3.442 b=3.442 c=23.367 alpha=90.00 beta=90.00 gamma=120.00
Sites, in units of the cell vectors:
S 0.333 0.667 0.250
Hf 0.000 0.000 0.174
B 0.333 0.667 0.621
Hf 0.000 0.000 0.326
Hf 0.000 0.000 0.826
B 0.000 0.000 0.500
Hf 0.000 0.000 0.674
B 0.667 0.333 0.379
S 0.667 0.333 0.750
B 0.333 0.667 0.879
Hf 0.667 0.333 0.939
B 0.667 0.333 0.121
Hf 0.333 0.667 0.439
B 0.000 0.000 0.000
Hf 0.333 0.667 0.061
Hf 0.667 0.333 0.561



The following is a DFT calculation (PBE) of a geometry-optimized HoNp structure.

Density ... 10.872 g cm⁻³
Energy ... -7.39 eV/atom
Energy of formation ... 1.28 eV per atom

Unit cell a=4.428 b=4.428 c=4.428 alpha=60.00 beta=60.00 gamma=60.00
Each line ends with the local moment (μB).
Sites, in units of the cell vectors:
Np 0.500 0.500 0.500  4.49
Ho 0.000 0.000 0.000  0.88



The following is a DFT calculation (PBE) of a geometry-optimized GaFeHgW structure.

Density ... 13.228 g cm⁻³
Energy ... -5.44 eV/atom

Unit cell a=4.490 b=4.490 c=4.490 alpha=60.00 beta=60.00 gamma=60.00
Sites, in units of the cell vectors:
W 0.250 0.250 0.250
Hg 0.500 0.500 0.500
Fe 0.750 0.750 0.750
Ga 0.000 0.000 0.000